CeTmPaSn | PBE | relaxed

Summary:
* space-group type: F-43m (216)
* total moment: 2.45 Bohr magnetons per cell
* formation energy from the elements: -0.012 eV per atom

Cell: 5.3115 5.3115 5.3115 Å, 60.00 60.00 60.00°
Fractional coordinates of all 4 atoms:
Ce  0.0000  0.0000  0.0000
Tm  0.5000  0.5000  0.5000
Pa  0.2500  0.2500  0.2500
Sn  0.7500  0.7500  0.7500